(1)
{"formula": "Na2Np3AgTe6", "functional": "PBE", "state": "optimized geometry", "lattice_angstrom": [[7.735, -0.003, -0.001], [-3.868, 6.699, -0.001], [-1.292, -2.237, 7.286]], "species": ["Np", "Np", "Np", "Te", "Te", "Te", "Te", "Te", "Te", "Na", "Na", "Ag"], "fractional_positions": [[0.500, 0.500, 0.500], [0.168, 0.832, 0.500], [0.832, 0.168, 0.500], [0.587, 0.915, 0.743], [0.758, 0.758, 0.259], [0.085, 0.413, 0.257], [0.915, 0.587, 0.743], [0.242, 0.242, 0.741], [0.413, 0.085, 0.257], [0.334, 0.666, 0.000], [0.666, 0.334, 0.000], [0.000, 0.000, 0.000]], "space_group": "C2/m, No. 12", "total_magnetization_mub_per_fu": 12.00, "raw_formation_energy_ev_per_atom": -0.650, "final_energy_ev_per_atom": -5.91}

***

(2)
{"formula": "KHgSCl2", "functional": "PBE", "state": "optimized geometry", "lattice_angstrom": [[5.490, 0.000, 0.000], [0.000, 5.490, 0.000], [0.000, 0.000, 4.957]], "species": ["Cl", "Cl", "Hg", "S", "K"], "fractional_positions": [[0.500, 0.000, 0.000], [0.000, 0.500, 0.000], [0.000, 0.000, 0.000], [0.000, 0.000, 0.500], [0.500, 0.500, 0.500]], "space_group": "P4/mmm, No. 123", "total_magnetization_mub_per_fu": 0.71, "raw_formation_energy_ev_per_atom": -0.624, "final_energy_ev_per_atom": -2.47, "relative_energy_mev_per_atom": 0.0}

***

(3)
{"formula": "Nd8BiTe4P3", "functional": "PBE", "state": "optimized geometry", "lattice_angstrom": [[-6.084, 4.906, 3.820], [-2.403, -6.913, 5.050], [8.306, 2.587, 0.000]], "species": ["Te", "Te", "Te", "Te", "Nd", "Nd", "Nd", "Nd", "Nd", "Nd", "Nd", "Nd", "P", "P", "P", "Bi"], "fractional_positions": [[0.000, 0.000, 0.500], [0.500, 0.000, 0.500], [0.500, 0.000, 0.000], [0.000, 0.000, 0.000], [0.262, 0.287, 0.525], [0.250, 0.722, 0.972], [0.278, 0.278, 0.028], [0.722, 0.722, 0.972], [0.738, 0.713, 0.475], [0.750, 0.278, 0.028], [0.250, 0.722, 0.500], [0.750, 0.278, 0.500], [0.000, 0.500, 0.500], [0.500, 0.500, 0.000], [0.500, 0.500, 0.500], [0.000, 0.500, 0.000]], "space_group": "R-3m, No. 166", "total_magnetization_mub_per_fu": 0.00, "raw_formation_energy_ev_per_atom": -1.457, "final_energy_ev_per_atom": -5.88}

***

(4)
{"formula": "Sc3GaIr", "functional": "PBE", "state": "optimized geometry", "lattice_angstrom": [[5.011, 0.000, 0.000], [0.000, 5.011, 0.000], [0.000, 0.000, 5.011]], "species": ["Sc", "Sc", "Sc", "Ga", "Ir"], "fractional_positions": [[0.000, 0.500, 0.000], [0.000, 0.000, 0.500], [0.500, 0.000, 0.000], [0.500, 0.500, 0.500], [0.000, 0.000, 0.000]], "space_group": "Pm-3m, No. 221", "total_magnetization_mub_per_fu": 0.00, "final_energy_ev_per_atom": -6.41, "formation_enthalpy_0k_ev_per_atom": -0.232, "relative_energy_mev_per_atom": 384.5}

***

(5)
{"formula": "ZrScGa2", "functional": "PBE", "state": "optimized geometry", "lattice_angstrom": [[-0.985, 3.322, -0.307], [-3.291, -0.914, 0.661], [0.995, 0.864, 6.148]], "species": ["Ga", "Ga", "Zr", "Sc"], "fractional_positions": [[0.000, 0.000, 0.247], [0.000, 0.000, 0.753], [0.500, 0.500, 0.500], [0.500, 0.500, 0.000]], "space_group": "P4/mmm, No. 123", "total_magnetization_mub_per_fu": 0.00, "final_energy_ev_per_atom": -5.74, "formation_enthalpy_0k_ev_per_atom": -0.503, "relative_energy_mev_per_atom": 99.7}

***

(6)
{"formula": "AcPmSm2Dy5", "functional": "PBE", "state": "optimized geometry", "lattice_angstrom": [[8.861, 0.000, 0.000], [0.000, 8.861, 0.000], [-4.430, -4.430, 7.801]], "species": ["Sm", "Sm", "Sm", "Sm", "Dy", "Dy", "Dy", "Dy", "Dy", "Dy", "Dy", "Dy", "Dy", "Dy", "Pm", "Pm", "Ac", "Ac"], "fractional_positions": [[0.883, 0.617, 0.000], [0.117, 0.383, 0.000], [0.617, 0.117, 0.000], [0.383, 0.883, 0.000], [0.336, 0.836, 0.262], [0.500, 0.500, 0.000], [0.926, 0.426, 0.262], [0.074, 0.574, 0.738], [0.164, 0.074, 0.738], [0.574, 0.664, 0.738], [0.426, 0.336, 0.262], [0.664, 0.164, 0.738], [0.000, 0.000, 0.000], [0.836, 0.926, 0.262], [0.250, 0.750, 0.500], [0.750, 0.250, 0.500], [0.750, 0.750, 0.500], [0.250, 0.250, 0.500]], "space_group": "I4/mcm, No. 140", "total_magnetization_mub_per_fu": 0.00, "final_energy_ev_per_atom": -4.34, "formation_enthalpy_0k_ev_per_atom": 0.252}

***

(7)
{"formula": "DyErCu", "functional": "PBE", "state": "optimized geometry", "lattice_angstrom": [[-0.388, 1.172, 6.611], [6.044, -2.551, 0.723], [2.752, 6.252, -0.946]], "species": ["Cu", "Cu", "Cu", "Cu", "Er", "Er", "Er", "Er", "Dy", "Dy", "Dy", "Dy"], "fractional_positions": [[0.246, 0.792, 0.038], [0.254, 0.208, 0.538], [0.754, 0.208, 0.962], [0.746, 0.792, 0.462], [0.501, 0.062, 0.249], [0.499, 0.938, 0.751], [0.001, 0.062, 0.251], [0.999, 0.938, 0.749], [0.750, 0.606, 0.091], [0.250, 0.606, 0.409], [0.250, 0.394, 0.909], [0.750, 0.394, 0.591]], "space_group": "P2_1/c, No. 14", "total_magnetization_mub_per_fu": 0.00, "final_energy_ev_per_atom": -4.53, "formation_enthalpy_0k_ev_per_atom": -0.107, "relative_energy_mev_per_atom": 65.3}

***

(8)
{"formula": "Co2ReMo", "functional": "PBE", "state": "optimized geometry", "lattice_angstrom": [[4.549, -0.010, 0.013], [1.512, 4.290, -0.013], [-3.038, -2.129, 2.630]], "species": ["Mo", "Re", "Co", "Co"], "fractional_positions": [[0.250, 0.750, 0.500], [0.750, 0.250, 0.500], [0.000, 0.000, 0.000], [0.500, 0.500, 0.000]], "space_group": "I4/mmm, No. 139", "total_magnetization_mub_per_fu": 0.01, "final_energy_ev_per_atom": -9.34, "formation_enthalpy_0k_ev_per_atom": 0.035, "relative_energy_mev_per_atom": 76.5}